SnBiMo2: optimized geometry, PBE-GGA.

Lattice parameters (Å, degrees): 4.7836 4.7836 4.7836 60.00 60.00 60.00
With the nearest neighbours (Å) after each atom.
Fractional positions:
Mo1 0.7500 0.7500 0.7500  4 Bi 2.93, 4 Sn 2.93
Mo2 0.2500 0.2500 0.2500  4 Bi 2.93, 4 Sn 2.93
Bi1 0.5000 0.5000 0.5000  8 Mo 2.93
Sn1 0.0000 0.0000 0.0000  8 Mo 2.93

Computed properties:
The spin magnetization comes out at 1.22 μB per cell. The value obtained for the formation energy is 580 meV per atom. The calculation puts the density of states at the Fermi level at 4.20 states/eV per cell.

SrSnBi2Mo: optimized geometry, PBE-GGA.

Lattice parameters (Å, degrees): 5.8483 5.9724 5.8483 90.00 90.00 90.00
With the nearest neighbours (Å) after each atom.
Fractional positions:
Mo1 0.5000 0.5000 0.5000  4 Sr 4.14, 8 Bi 4.18
Sn1 0.0000 0.0000 0.0000  4 Bi 2.92, 2 Sr 2.99
Bi1 0.0000 0.0000 0.5000  2 Sn 2.92
Bi2 0.5000 0.0000 0.0000  2 Sn 2.92
Sr1 0.0000 0.5000 0.0000  2 Sn 2.99

Computed properties:
The spin magnetization comes out at 4.79 μB per cell. The value obtained for the formation energy is 1117 meV per atom. The calculation puts the density of states at the Fermi level at 4.24 states/eV per cell.

SrSnBi2Mo: optimized geometry, PBE-GGA.

Lattice parameters (Å, degrees): 5.9335 5.2085 5.9335 90.00 90.00 90.00
With the nearest neighbours (Å) after each atom.
Fractional positions:
Mo1 0.0000 0.5000 0.0000  2 Sn 2.60
Bi1 0.0000 0.0000 0.5000  2 Sn 2.97
Bi2 0.5000 0.0000 0.0000  2 Sn 2.97
Sr1 0.5000 0.5000 0.5000  8 Bi 3.95, 4 Mo 4.20
Sn1 0.0000 0.0000 0.0000  2 Mo 2.60

Computed properties:
The spin magnetization comes out at 3.32 μB per cell. The value obtained for the formation energy is 648 meV per atom. The calculation puts the density of states at the Fermi level at 2.64 states/eV per cell.

TcSn2BiMo: optimized geometry, PBE-GGA.

Lattice parameters (Å, degrees): 5.2300 5.3253 5.2300 90.00 90.00 90.00
With the nearest neighbours (Å) after each atom.
Fractional positions:
Sn1 0.5000 0.0000 0.0000  2 Mo 2.62
Sn2 0.0000 0.0000 0.5000  2 Mo 2.62
Mo1 0.0000 0.0000 0.0000  4 Sn 2.62, 2 Bi 2.66
Tc1 0.5000 0.5000 0.5000  4 Bi 3.70, 8 Sn 3.73
Bi1 0.0000 0.5000 0.0000  2 Mo 2.66

Computed properties:
The spin magnetization comes out at 4.17 μB per cell. The value obtained for the formation energy is 1199 meV per atom. The calculation puts the density of states at the Fermi level at 4.82 states/eV per cell.

TlSnBi2Mo: optimized geometry, PBE-GGA.

Lattice parameters (Å, degrees): 5.8278 5.5296 5.8278 90.00 90.00 90.00
With the nearest neighbours (Å) after each atom.
Fractional positions:
Mo1 0.5000 0.5000 0.5000  8 Bi 4.02, 4 Sn 4.12
Bi1 0.5000 0.0000 0.0000  2 Tl 2.91
Bi2 0.0000 0.0000 0.5000  2 Tl 2.91
Sn1 0.0000 0.5000 0.0000  2 Tl 2.76
Tl1 0.0000 0.0000 0.0000  2 Sn 2.76, 4 Bi 2.91

Computed properties:
The spin magnetization comes out at 4.05 μB per cell. The value obtained for the formation energy is 1503 meV per atom. The calculation puts the density of states at the Fermi level at 4.47 states/eV per cell.

Zn2SnBiMo: optimized geometry, PBE-GGA.

Lattice parameters (Å, degrees): 5.0314 5.2535 5.0314 90.00 90.00 90.00
With the nearest neighbours (Å) after each atom.
Fractional positions:
Zn1 0.5000 0.0000 0.0000  2 Mo 2.52
Zn2 0.0000 0.0000 0.5000  2 Mo 2.52
Mo1 0.0000 0.0000 0.0000  4 Zn 2.52, 2 Bi 2.63
Bi1 0.0000 0.5000 0.0000  2 Mo 2.63
Sn1 0.5000 0.5000 0.5000  4 Bi 3.56, 8 Zn 3.64

Computed properties:
The spin magnetization comes out at 0.00 μB per cell. The value obtained for the formation energy is 688 meV per atom. The calculation puts the density of states at the Fermi level at 3.48 states/eV per cell.

Zn2SnBiMo: optimized geometry, PBE-GGA.

Lattice parameters (Å, degrees): 4.9965 5.1838 4.9965 90.00 90.00 90.00
With the nearest neighbours (Å) after each atom.
Fractional positions:
Mo1 0.0000 0.0000 0.0000  4 Zn 2.50, 2 Sn 2.59
Sn1 0.0000 0.5000 0.0000  2 Mo 2.59
Zn1 0.0000 0.0000 0.5000  2 Mo 2.50
Zn2 0.5000 0.0000 0.0000  2 Mo 2.50
Bi1 0.5000 0.5000 0.5000  4 Sn 3.53, 8 Zn 3.60

Computed properties:
The spin magnetization comes out at 0.00 μB per cell. The value obtained for the formation energy is 748 meV per atom. The calculation puts the density of states at the Fermi level at 4.40 states/eV per cell.

SrBi3Mo: optimized geometry, PBE-GGA.

Lattice parameters (Å, degrees): 5.5095 5.5095 5.5095 90.00 90.00 90.00
With the nearest neighbours (Å) after each atom.
Fractional positions:
Sr1 0.5000 0.5000 0.5000  12 Bi 3.90
Mo1 0.0000 0.0000 0.0000  6 Bi 2.75
Bi1 0.0000 0.5000 0.0000  2 Mo 2.75
Bi2 0.0000 0.0000 0.5000  2 Mo 2.75
Bi3 0.5000 0.0000 0.0000  2 Mo 2.75

Computed properties:
The spin magnetization comes out at 0.95 μB per cell. The value obtained for the formation energy is 189 meV per atom. The calculation puts the density of states at the Fermi level at 3.99 states/eV per cell.